VASP calculation (PBE) on a geometry-optimized AgIrW2 structure.

Lattice parameters (Å, degrees): 4.9641 4.9641 2.7638 89.99 89.99 112.43
Sites, in units of the cell vectors:
Ir 0.0000 0.5000 0.5000
W 0.0000 0.0000 0.0000
W 0.5000 0.5000 0.0000
Ag 0.5000 0.0000 0.5000

## Properties
Magnetic moment: 0.000 μB/f.u.
Symmetry: Cmmm
ΔE to the lowest computed polymorph: 71 meV per atom
Raw total energy: -36.4 eV/f.u.

***

VASP calculation (PBE) on a geometry-optimized Cr2RhBr structure.

Lattice parameters (Å, degrees): 4.5011 4.5011 4.5011 60.00 60.00 60.00
Sites, in units of the cell vectors:
Br 0.5000 0.5000 0.5000
Cr 0.0000 0.0000 0.0000
Cr 0.2500 0.2500 0.2500
Rh 0.7500 0.7500 0.7500

## Properties
Raw formation energy: 0.7218 eV per atom
Magnetic moment: 0.265 μB/f.u.
Symmetry: F-43m
ΔE to the lowest computed polymorph: 390 meV per atom
Raw total energy: -25.4 eV/f.u.

***

VASP calculation (PBE) on a geometry-optimized CaAcEuTl structure.

Lattice parameters (Å, degrees): 5.8885 5.8885 5.8885 60.00 60.00 60.00
Sites, in units of the cell vectors:
Eu 0.7500 0.7500 0.7500
Ac 0.5000 0.5000 0.5000
Ca 0.2500 0.2500 0.2500
Tl 0.0000 0.0000 0.0000

## Properties
Magnetic moment: 7.558 μB/f.u.
Symmetry: F-43m
Raw total energy: -18.8 eV/f.u.

***

VASP calculation (PBE) on a geometry-optimized Cd2Bi2F7 structure.

Lattice parameters (Å, degrees): 6.0007 5.5557 5.5557 85.51 90.08 90.08
Sites, in units of the cell vectors:
Cd 0.4992 0.2740 0.2740
Cd 0.5008 0.7260 0.7260
Bi 0.0000 0.2159 0.7841
Bi 0.0000 0.7841 0.2159
F 0.7636 0.0006 0.4969
F 0.2364 0.5031 0.9994
F 0.2364 0.9994 0.5031
F 0.7636 0.4969 0.0006
F 0.5000 0.0000 0.0000
F 0.2806 0.4997 0.4997
F 0.7194 0.5003 0.5003

## Properties
Raw formation energy: -1.8825 eV per atom
Magnetic moment: 0.000 μB/f.u.
Symmetry: C2/m
Raw total energy: -43.4 eV/f.u.

***

VASP calculation (PBE) on a geometry-optimized Mg4ZrNb3N8 structure.

Lattice parameters (Å, degrees): 6.2308 6.3195 6.2310 119.53 120.00 90.00
Sites, in units of the cell vectors:
Mg 0.5000 0.0000 0.0000
Mg 0.5000 0.0000 0.5000
Mg 0.0000 0.0000 0.0000
Mg 0.0000 0.0000 0.5000
Zr 0.0000 0.5000 0.0000
Nb 0.5000 0.5000 0.0000
Nb 0.5000 0.5000 0.5000
Nb 0.0000 0.5000 0.5000
N 0.2509 0.7442 0.9933
N 0.2509 0.7442 0.5018
N 0.2514 0.2543 0.5029
N 0.7424 0.7442 0.9933
N 0.2576 0.2558 0.0067
N 0.7486 0.7457 0.4971
N 0.7491 0.2558 0.4982
N 0.7491 0.2558 0.0067

## Properties
Raw formation energy: -1.0648 eV per atom
Magnetic moment: 0.000 μB/f.u.
Symmetry: R-3m
Raw total energy: -128.8 eV/f.u.

***

VASP calculation (PBE) on a geometry-optimized BeAlV2Hg structure.

Lattice parameters (Å, degrees): 5.0927 4.2530 5.0927 90.00 90.00 90.00
Sites, in units of the cell vectors:
Be 0.0000 0.5000 0.0000
Al 0.5000 0.5000 0.5000
Hg 0.0000 0.0000 0.0000
V 0.0000 0.0000 0.5000
V 0.5000 0.0000 0.0000

## Properties
Magnetic moment: 6.374 μB/f.u.
Symmetry: P4/mmm
Raw total energy: -19.3 eV/f.u.

***

VASP calculation (PBE) on a geometry-optimized TbCdGaSn structure.

Lattice parameters (Å, degrees): 4.3757 4.5515 4.6287 90.00 90.00 90.00
Sites, in units of the cell vectors:
Tb 0.0000 0.5000 0.5000
Cd 0.0000 0.0000 0.0000
Ga 0.5000 0.0000 0.5000
Sn 0.5000 0.5000 0.0000

## Properties
Magnetic moment: 0.000 μB/f.u.
Symmetry: Pmmm
Raw total energy: -14.4 eV/f.u.

***

VASP calculation (PBE) on a geometry-optimized LiAc2HoO5 structure.

Lattice parameters (Å, degrees): 3.7475 3.7475 9.4773 90.00 90.00 90.00
Sites, in units of the cell vectors:
Li 0.0000 0.0000 0.5000
Ac 0.5000 0.5000 0.3181
Ac 0.5000 0.5000 0.6819
Ho 0.0000 0.0000 0.0000
O 0.0000 0.5000 0.5000
O 0.5000 0.0000 0.5000
O 0.0000 0.0000 0.7724
O 0.0000 0.0000 0.2276
O 0.5000 0.5000 0.0000

## Properties
Raw formation energy: -2.9646 eV per atom
Magnetic moment: 0.000 μB/f.u.
Symmetry: P4/mmm
Raw total energy: -66.2 eV/f.u.

***

VASP calculation (PBE) on a geometry-optimized Tb2HgPt structure.

Lattice parameters (Å, degrees): 3.5876 7.1734 7.4050 90.00 90.00 90.00
Sites, in units of the cell vectors:
Tb 0.5000 0.9961 0.2256
Tb 0.5000 0.0039 0.7744
Tb 0.5000 0.4961 0.7744
Tb 0.5000 0.5039 0.2256
Hg 0.0000 0.2500 0.4926
Hg 0.0000 0.7500 0.5074
Pt 0.0000 0.2500 0.0190
Pt 0.0000 0.7500 0.9810

## Properties
Magnetic moment: 0.000 μB/f.u.
Symmetry: Pmma
ΔE to the lowest computed polymorph: 0 meV per atom
Raw total energy: -19.0 eV/f.u.

***

VASP calculation (PBE) on a geometry-optimized PrY2Tm3 structure.

Lattice parameters (Å, degrees): 6.1509 7.1154 9.4042 112.23 89.74 90.00
Sites, in units of the cell vectors:
Pr 0.7500 0.1250 0.0000
Pr 0.2500 0.8750 0.0000
Y 0.5831 0.5426 0.3348
Y 0.0831 0.7922 0.3348
Y 0.9169 0.2078 0.6652
Y 0.4169 0.4574 0.6652
Tm 0.2500 0.3758 0.0000
Tm 0.7500 0.6242 0.0000
Tm 0.0836 0.2932 0.3358
Tm 0.4164 0.9574 0.6642
Tm 0.5836 0.0426 0.3358
Tm 0.9164 0.7068 0.6642

## Properties
Magnetic moment: 0.000 μB/f.u.
Symmetry: C2/c
ΔE to the lowest computed polymorph: 0 meV per atom
Raw total energy: -31.0 eV/f.u.

***

VASP calculation (PBE) on a geometry-optimized TaIn2Os structure.

Lattice parameters (Å, degrees): 3.0811 4.2491 5.6746 90.00 90.00 90.00
Sites, in units of the cell vectors:
In 0.0000 0.0000 0.0078
In 0.0000 0.0000 0.4922
Os 0.5000 0.5000 0.2500
Ta 0.5000 0.5000 0.7500

## Properties
Magnetic moment: 0.000 μB/f.u.
Symmetry: Pmmm
ΔE to the lowest computed polymorph: 470 meV per atom
Raw total energy: -26.5 eV/f.u.

***

VASP calculation (PBE) on a geometry-optimized BaMgCu structure.

Lattice parameters (Å, degrees): 4.4951 4.4951 8.9960 90.00 90.00 90.00
Sites, in units of the cell vectors:
Ba 0.0000 0.5000 0.8258
Ba 0.5000 0.0000 0.1742
Mg 0.5000 0.5000 0.5000
Mg 0.0000 0.0000 0.5000
Cu 0.0000 0.5000 0.3207
Cu 0.5000 0.0000 0.6793

## Properties
Magnetic moment: 0.000 μB/f.u.
Symmetry: P4/nmm
Raw total energy: -7.7 eV/f.u.

***

VASP calculation (PBE) on a geometry-optimized AsRu structure.

Lattice parameters (Å, degrees): 6.2736 6.2736 5.9985 71.61 71.61 27.24
Sites, in units of the cell vectors:
As 0.3617 0.3617 0.3612
As 0.5692 0.5692 0.7726
As 0.6991 0.6991 0.1417
Ru 0.0249 0.0249 0.1374
Ru 0.9397 0.9397 0.6342
Ru 0.2387 0.2387 0.7862

## Properties
Magnetic moment: 0.000 μB/f.u.
Symmetry: Cm
Raw total energy: -13.9 eV/f.u.

***

VASP calculation (PBE) on a geometry-optimized Tb3Sm4ScS8 structure.

Lattice parameters (Å, degrees): 7.8572 7.9167 7.8576 119.75 120.00 90.00
Sites, in units of the cell vectors:
Tb 0.5000 0.5000 0.0000
Tb 0.5000 0.5000 0.5000
Tb 0.0000 0.5000 0.5000
Sm 0.5000 0.0000 0.0000
Sm 0.5000 0.0000 0.5000
Sm 0.0000 0.0000 0.0000
Sm 0.0000 0.0000 0.5000
Sc 0.0000 0.5000 0.0000
S 0.2410 0.7357 0.9947
S 0.2409 0.7356 0.4819
S 0.2527 0.2582 0.5055
S 0.7537 0.7357 0.9947
S 0.2463 0.2643 0.0053
S 0.7473 0.7418 0.4945
S 0.7591 0.2644 0.5181
S 0.7590 0.2643 0.0053

## Properties
Raw formation energy: -1.9851 eV per atom
Magnetic moment: 0.000 μB/f.u.
Symmetry: R-3m
Raw total energy: -103.9 eV/f.u.

***

VASP calculation (PBE) on a geometry-optimized BeTcAu2 structure.

Lattice parameters (Å, degrees): 3.7998 3.8027 4.2110 90.00 90.00 90.00
Sites, in units of the cell vectors:
Be 0.5000 0.0000 0.5000
Au 0.0000 0.0000 0.0000
Au 0.5000 0.5000 0.0000
Tc 0.0000 0.5000 0.5000

## Properties
Magnetic moment: 0.000 μB/f.u.
Symmetry: P4/mmm
Raw total energy: -19.1 eV/f.u.

***

VASP calculation (PBE) on a geometry-optimized Si2AgAu2 structure.

Lattice parameters (Å, degrees): 3.6391 3.6391 7.1795 75.32 75.32 90.00
Sites, in units of the cell vectors:
Si 0.7500 0.2500 0.5000
Si 0.2500 0.7500 0.5000
Au 0.3955 0.3955 0.2089
Au 0.6045 0.6045 0.7911
Ag 0.0000 0.0000 0.0000

## Properties
Raw formation energy: 0.1721 eV per atom
Magnetic moment: 0.000 μB/f.u.
Symmetry: I4/mmm
ΔE to the lowest computed polymorph: 28 meV per atom
Raw total energy: -19.4 eV/f.u.

***

VASP calculation (PBE) on a geometry-optimized K5TcO4F2 structure.

Lattice parameters (Å, degrees): 6.3760 6.0205 7.6395 90.00 90.00 121.97
Sites, in units of the cell vectors:
K 0.0863 0.3738 0.2405
K 0.4071 0.0000 0.5000
K 0.0863 0.3738 0.7595
K 0.7126 0.6262 0.7595
K 0.7126 0.6262 0.2405
Tc 0.4132 0.0000 0.0000
O 0.5910 0.0000 0.1931
O 0.5910 0.0000 0.8069
O 0.3818 0.2898 0.0000
O 0.0920 0.7102 0.0000
F 0.9608 0.5898 0.5000
F 0.3710 0.4102 0.5000

## Properties
Raw formation energy: -1.9321 eV per atom
Magnetic moment: 2.000 μB/f.u.
Symmetry: Amm2
Raw total energy: -62.6 eV/f.u.

***

VASP calculation (PBE) on a geometry-optimized Li2AuO2 structure.

Lattice parameters (Å, degrees): 2.9163 2.9163 6.6822 102.60 102.60 90.00
Sites, in units of the cell vectors:
Li 0.6819 0.6819 0.3638
Li 0.3181 0.3181 0.6362
Au 0.0000 0.0000 0.0000
O 0.8426 0.8426 0.6852
O 0.1574 0.1574 0.3148

## Properties
Raw formation energy: -1.1694 eV per atom
Magnetic moment: 0.451 μB/f.u.
Symmetry: I4/mmm
Raw total energy: -22.9 eV/f.u.